--- P ---
This record from the Alexandria database describes a relaxed structure of HgPt3Rh. The functional is PBE.

Calculated values
crystal system: cubic

a b c (Å): 4.843 4.843 4.843
angles (deg): 90.00 90.00 90.00
Fractional positions:
Hg 0.000 0.000 0.000
Pt 0.000 0.500 0.500
Pt 0.500 0.000 0.500
Pt 0.500 0.500 0.000
Rh 0.500 0.500 0.500

--- Q ---
This record from the Alexandria database describes a relaxed structure of HgPt3Rh. The functional is PBE.

Calculated values
crystal system: cubic

a b c (Å): 4.965 4.965 4.965
angles (deg): 90.00 90.00 90.00
Fractional positions:
Hg 0.000 0.000 0.000
Pt 0.000 0.000 0.500
Pt 0.000 0.500 0.000
Pt 0.500 0.000 0.000
Rh 0.500 0.500 0.500

Most stable pick: P. Distance to second place: 63.9 kJ/mol of atoms.

--- P ---
This record from the Alexandria database describes a relaxed structure of Hg2RuPt. The functional is PBE.

Calculated values
crystal system: tetragonal

a b c (Å): 6.032 6.032 6.032
angles (deg): 102.36 102.36 124.88
Fractional positions:
Hg 0.125 0.625 0.000
Hg 0.375 0.375 0.500
Hg 0.625 0.125 0.000
Hg 0.875 0.875 0.500
Ru 0.000 0.000 0.000
Ru 0.750 0.250 0.500
Pt 0.250 0.750 0.500
Pt 0.500 0.500 0.000

--- Q ---
This record from the Alexandria database describes a relaxed structure of Hg2RuPt. The functional is PBE.

Calculated values
crystal system: orthorhombic

a b c (Å): 2.990 3.869 6.170
angles (deg): 90.00 90.00 90.00
Fractional positions:
Hg 0.000 0.000 0.247
Hg 0.000 0.000 0.753
Ru 0.500 0.500 0.000
Pt 0.500 0.500 0.500

Most stable pick: Q. Distance to second place: 29.3 kJ/mol of atoms.

--- P ---
This record from the Alexandria database describes a relaxed structure of Hg2RuPt. The functional is PBE.

Calculated values
crystal system: monoclinic

a b c (Å): 4.979 2.919 5.258
angles (deg): 90.00 111.04 90.00
Fractional positions:
Hg 0.000 0.000 0.000
Hg 0.000 0.500 0.500
Ru 0.500 0.000 0.500
Pt 0.500 0.500 0.000

--- Q ---
This record from the Alexandria database describes a relaxed structure of Hg2RuPt. The functional is PBE.

Calculated values
crystal system: trigonal

a b c (Å): 9.372 9.372 9.372
angles (deg): 18.37 18.37 18.37
Fractional positions:
Hg 0.249 0.249 0.249
Hg 0.751 0.751 0.751
Ru 0.500 0.500 0.500
Pt 0.000 0.000 0.000

Most stable pick: Q. Distance to second place: 0.5 kJ/mol of atoms.

--- P ---
This record from the Alexandria database describes a relaxed structure of Hg2RuPt. The functional is PBE.

Calculated values
crystal system: tetragonal

a b c (Å): 2.934 2.934 8.568
angles (deg): 90.00 90.00 90.00
Fractional positions:
Hg 0.000 0.000 0.000
Hg 0.500 0.500 0.305
Ru 0.500 0.500 0.759
Pt 0.000 0.000 0.557

--- Q ---
This record from the Alexandria database describes a relaxed structure of Hg2RuPt. The functional is PBE.

Calculated values
crystal system: cubic

a b c (Å): 4.654 4.654 4.654
angles (deg): 60.00 60.00 60.00
Fractional positions:
Hg 0.250 0.250 0.250
Hg 0.750 0.750 0.750
Ru 0.000 0.000 0.000
Pt 0.500 0.500 0.500

Most stable pick: P. Distance to second place: 11.4 kJ/mol of atoms.

--- P ---
This record from the Alexandria database describes a relaxed structure of HgRuPt. The functional is PBE.

Calculated values
crystal system: tetragonal

a b c (Å): 6.459 6.459 6.459
angles (deg): 154.33 154.33 36.62
Fractional positions:
Hg 0.000 0.000 0.000
Ru 0.326 0.326 0.000
Pt 0.683 0.683 0.000

--- Q ---
This record from the Alexandria database describes a relaxed structure of HgRuPt. The functional is PBE.

Calculated values
crystal system: cubic

a b c (Å): 4.406 4.406 4.406
angles (deg): 60.00 60.00 60.00
Fractional positions:
Hg 0.000 0.000 0.000
Ru 0.500 0.500 0.500
Pt 0.250 0.250 0.250

Most stable pick: P. Distance to second place: 30.2 kJ/mol of atoms.

--- P ---
This record from the Alexandria database describes a relaxed structure of HgRuPt. The functional is PBE.

Calculated values
crystal system: orthorhombic

a b c (Å): 7.679 7.413 2.849
angles (deg): 84.44 73.89 21.67
Fractional positions:
Hg 0.000 0.000 0.000
Ru 0.329 0.329 0.671
Pt 0.675 0.675 0.325

--- Q ---
This record from the Alexandria database describes a relaxed structure of HgRuPt. The functional is PBE.

Calculated values
crystal system: trigonal

a b c (Å): 2.898 2.898 6.923
angles (deg): 90.00 90.00 120.00
Fractional positions:
Hg 0.000 0.000 0.000
Ru 0.333 0.667 0.655
Pt 0.667 0.333 0.356

Most stable pick: Q. Distance to second place: 11.4 kJ/mol of atoms.

--- P ---
This record from the Alexandria database describes a relaxed structure of Hg3RuPt. The functional is PBE.

Calculated values
crystal system: cubic

a b c (Å): 5.172 5.172 5.172
angles (deg): 90.00 90.00 90.00
Fractional positions:
Hg 0.000 0.000 0.500
Hg 0.000 0.500 0.000
Hg 0.500 0.000 0.000
Ru 0.500 0.500 0.500
Pt 0.000 0.000 0.000

--- Q ---
This record from the Alexandria database describes a relaxed structure of Hg3RuPt. The functional is PBE.

Calculated values
crystal system: cubic

a b c (Å): 5.144 5.144 5.144
angles (deg): 90.00 90.00 90.00
Fractional positions:
Hg 0.000 0.000 0.500
Hg 0.000 0.500 0.000
Hg 0.500 0.000 0.000
Ru 0.000 0.000 0.000
Pt 0.500 0.500 0.500

Most stable pick: P. Distance to second place: 13.6 kJ/mol of atoms.

--- P ---
This record from the Alexandria database describes a relaxed structure of HgRu2Pt2. The functional is PBE.

Calculated values
crystal system: tetragonal

a b c (Å): 7.744 7.744 2.787
angles (deg): 90.00 90.00 90.00
Fractional positions:
Hg 0.000 0.000 0.000
Hg 0.500 0.500 0.000
Ru 0.119 0.381 0.000
Ru 0.381 0.881 0.000
Ru 0.619 0.119 0.000
Ru 0.881 0.619 0.000
Pt 0.176 0.676 0.500
Pt 0.324 0.176 0.500
Pt 0.676 0.824 0.500
Pt 0.824 0.324 0.500

--- Q ---
This record from the Alexandria database describes a relaxed structure of HgRu2Pt2. The functional is PBE.

Calculated values
crystal system: tetragonal

a b c (Å): 7.770 7.770 2.769
angles (deg): 90.00 90.00 90.00
Fractional positions:
Hg 0.000 0.000 0.000
Hg 0.500 0.500 0.000
Ru 0.174 0.326 0.500
Ru 0.326 0.826 0.500
Ru 0.674 0.174 0.500
Ru 0.826 0.674 0.500
Pt 0.123 0.623 0.000
Pt 0.377 0.123 0.000
Pt 0.623 0.877 0.000
Pt 0.877 0.377 0.000

Most stable pick: P. Distance to second place: 3.4 kJ/mol of atoms.

--- P ---
This record from the Alexandria database describes a relaxed structure of HgPtS. The functional is PBE.

Calculated values
crystal system: monoclinic

a b c (Å): 6.751 6.751 6.284
angles (deg): 111.17 111.17 30.64
Fractional positions:
Hg 0.159 0.159 0.467
Hg 0.841 0.841 0.533
Pt 0.000 0.000 0.000
Pt 0.500 0.500 0.500
S 0.407 0.407 0.101
S 0.593 0.593 0.899

--- Q ---
This record from the Alexandria database describes a relaxed structure of HgPtS. The functional is PBE.

Calculated values
crystal system: trigonal

a b c (Å): 3.664 3.664 5.389
angles (deg): 90.00 90.00 120.00
Fractional positions:
Hg 0.000 0.000 0.000
Pt 0.667 0.333 0.371
S 0.333 0.667 0.563

--- R ---
This record from the Alexandria database describes a relaxed structure of HgPtS. The functional is PBE.

Calculated values
crystal system: monoclinic

a b c (Å): 5.395 3.536 6.779
angles (deg): 90.00 93.35 90.00
Fractional positions:
Hg 0.207 0.250 0.072
Hg 0.793 0.750 0.928
Pt 0.482 0.250 0.700
Pt 0.518 0.750 0.300
S 0.245 0.750 0.579
S 0.755 0.250 0.421

Most stable pick: P. Distance to second place: 23.2 kJ/mol of atoms.

--- P ---
This record from the Alexandria database describes a relaxed structure of Hg3PtS. The functional is PBE.

Calculated values
crystal system: cubic

a b c (Å): 5.093 5.093 5.093
angles (deg): 90.00 90.00 90.00
Fractional positions:
Hg 0.000 0.000 0.500
Hg 0.000 0.500 0.000
Hg 0.500 0.000 0.000
Pt 0.500 0.500 0.500
S 0.000 0.000 0.000

--- Q ---
This record from the Alexandria database describes a relaxed structure of Hg3PtS. The functional is PBE.

Calculated values
crystal system: cubic

a b c (Å): 5.251 5.251 5.251
angles (deg): 90.00 90.00 90.00
Fractional positions:
Hg 0.000 0.000 0.500
Hg 0.000 0.500 0.000
Hg 0.500 0.000 0.000
Pt 0.000 0.000 0.000
S 0.500 0.500 0.500

Most stable pick: Q. Distance to second place: 39.6 kJ/mol of atoms.

--- P ---
This record from the Alexandria database describes a relaxed structure of HgSb2Pt2. The functional is PBE.

Calculated values
crystal system: tetragonal

a b c (Å): 6.124 6.124 6.124
angles (deg): 133.19 133.19 68.36
Fractional positions:
Hg 0.000 0.000 0.000
Sb 0.250 0.750 0.500
Sb 0.750 0.250 0.500
Pt 0.367 0.367 0.000
Pt 0.633 0.633 0.000

--- Q ---
This record from the Alexandria database describes a relaxed structure of HgSb2Pt2. The functional is PBE.

Calculated values
crystal system: tetragonal

a b c (Å): 7.571 7.571 3.708
angles (deg): 90.00 90.00 90.00
Fractional positions:
Hg 0.000 0.000 0.000
Hg 0.500 0.500 0.000
Sb 0.160 0.340 0.500
Sb 0.340 0.840 0.500
Sb 0.660 0.160 0.500
Sb 0.840 0.660 0.500
Pt 0.136 0.636 0.000
Pt 0.364 0.136 0.000
Pt 0.636 0.864 0.000
Pt 0.864 0.364 0.000

Most stable pick: Q. Distance to second place: 4.6 kJ/mol of atoms.

--- P ---
This record from the Alexandria database describes a relaxed structure of HgSb2Pt2. The functional is PBE.

Calculated values
crystal system: tetragonal

a b c (Å): 8.197 8.197 3.221
angles (deg): 90.00 90.00 90.00
Fractional positions:
Hg 0.000 0.000 0.000
Hg 0.500 0.500 0.000
Sb 0.165 0.335 0.000
Sb 0.335 0.835 0.000
Sb 0.665 0.165 0.000
Sb 0.835 0.665 0.000
Pt 0.124 0.624 0.500
Pt 0.376 0.124 0.500
Pt 0.624 0.876 0.500
Pt 0.876 0.376 0.500

--- Q ---
This record from the Alexandria database describes a relaxed structure of HgSb2Pt2. The functional is PBE.

Calculated values
crystal system: tetragonal

a b c (Å): 8.323 8.323 8.323
angles (deg): 152.32 152.32 39.54
Fractional positions:
Hg 0.000 0.000 0.000
Sb 0.367 0.367 0.000
Sb 0.633 0.633 0.000
Pt 0.250 0.750 0.500
Pt 0.750 0.250 0.500

Most stable pick: Q. Distance to second place: 16.5 kJ/mol of atoms.

--- P ---
This record from the Alexandria database describes a relaxed structure of Hg2SbPt2. The functional is PBE.

Calculated values
crystal system: tetragonal

a b c (Å): 7.259 7.259 3.871
angles (deg): 90.00 90.00 90.00
Fractional positions:
Hg 0.157 0.343 0.000
Hg 0.343 0.843 0.000
Hg 0.657 0.157 0.000
Hg 0.843 0.657 0.000
Sb 0.000 0.000 0.500
Sb 0.500 0.500 0.500
Pt 0.143 0.643 0.500
Pt 0.357 0.143 0.500
Pt 0.643 0.857 0.500
Pt 0.857 0.357 0.500

--- Q ---
This record from the Alexandria database describes a relaxed structure of Hg2SbPt2. The functional is PBE.

Calculated values
crystal system: tetragonal

a b c (Å): 7.494 7.494 7.494
angles (deg): 149.84 149.84 43.18
Fractional positions:
Hg 0.250 0.750 0.500
Hg 0.750 0.250 0.500
Sb 0.000 0.000 0.000
Pt 0.406 0.406 0.000
Pt 0.594 0.594 0.000

Most stable pick: P. Distance to second place: 8.1 kJ/mol of atoms.